# 1
Entry from Alexandria: Ca3Ti2Ge3O12 at its PBEsol-relaxed geometry (SCAN).

E_form (uncorrected): -2737 meV/atom

CIF file:
```
data_Ca3Ti2Ge3O12
_space_group_name_H-M_alt 'I a -3 d'
_space_group_IT_number 230
_space_group_name_Hall '-I 4bd 2c 3'
_cell_length_a 12.3972
_cell_length_b 12.3972
_cell_length_c 12.3972
_cell_angle_alpha 90.00
_cell_angle_beta 90.00
_cell_angle_gamma 90.00
loop_
_atom_site_label
_atom_site_type_symbol
_atom_site_fract_x
_atom_site_fract_y
_atom_site_fract_z
Ca1 Ca 0.0000 0.2500 0.1250
Ti1 Ti 0.0000 0.0000 0.0000
Ge1 Ge 0.0000 0.2500 0.3750
O1 O 0.0332 0.0509 0.6515
```


# 2
Entry from Alexandria: ScAl3Ge at its PBEsol-relaxed geometry (SCAN).

ΔH_f (0 K): 0.49 eV per atom

CIF file:
```
data_ScAl3Ge
_space_group_name_H-M_alt 'P m -3 m'
_space_group_IT_number 221
_space_group_name_Hall '-P 4 2 3'
_cell_length_a 4.7909
_cell_length_b 4.7909
_cell_length_c 4.7909
_cell_angle_alpha 90.00
_cell_angle_beta 90.00
_cell_angle_gamma 90.00
loop_
_atom_site_label
_atom_site_type_symbol
_atom_site_fract_x
_atom_site_fract_y
_atom_site_fract_z
Sc1 Sc 0.0000 0.0000 0.0000
Al1 Al 0.0000 0.5000 0.5000
Ge1 Ge 0.5000 0.5000 0.5000
```


Values for total magnetization, μB per formula unit, ordered as above
1.99; 0.00
Values for VASP energy, eV/f.u., ordered as above
-247.84; -54.12